[1]
Here is a relaxed structure of RuRh2Au from Alexandria via LeMat-Bulk. Energies are from PBE-GGA.

Calculated values
As for the size of the total moment: 2.0 μB per cell. Its excess energy over the best structure of this formula in the dataset is 0.2235 eV per atom. The density of states at the Fermi level comes out at 10.46 states/eV per cell.

Lattice parameters (Å, degrees): 2.7639 4.7168 9.4783 90.00 90.00 90.00
Last column: nearest neighbours and their distance in Å.
Space group Cmmm (No. 65)
Asymmetric unit:
Ru  0.0000  0.0000  0.0000 (multiplicity 2)  4 Rh 2.63, 6 Ru 2.73-2.76
Rh  0.0000  0.5000  0.2357 (multiplicity 4)  2 Ru 2.63, 6 Rh 2.73-2.76, 2 Au 2.86
Au  0.0000  0.0000  0.5000 (multiplicity 2)  6 Au 2.73-2.76, 4 Rh 2.86



[2]
Here is a relaxed structure of Te4Pd3Rh2 from Alexandria via LeMat-Bulk. Energies are from PBE-GGA.

Calculated values
As for the size of the total moment: 0.0 μB per cell. The uncorrected formation energy comes out at -273 meV per atom. The density of states at the Fermi level comes out at 22.49 states/eV per cell.

Lattice parameters (Å, degrees): 12.7528 9.1531 6.7018 90.00 95.24 90.00
Last column: nearest neighbours and their distance in Å.
Space group C2/c (No. 15)
Asymmetric unit:
Te  0.1078  0.1409  0.4383 (multiplicity 8)  2 Rh 2.59-2.61, 3 Pd 2.66-2.87
Te  0.1221  0.4185  0.9679 (multiplicity 8)  2 Rh 2.60-2.64, 3 Pd 2.70-2.74
Pd  0.0000  0.2206  0.7500 (multiplicity 4)  4 Te 2.70-2.72, 2 Pd 2.88
Pd  0.1691  0.1295  0.0372 (multiplicity 8)  4 Te 2.66-2.87, 1 Pd 2.88, 3 Rh 2.88-2.97
Rh  0.2177  0.3591  0.3246 (multiplicity 8)  4 Te 2.59-2.64, 1 Pd 2.88



[3]
Here is a relaxed structure of Li8Mg5Tl from Alexandria via LeMat-Bulk. Energies are from PBE-GGA.

Calculated values
As for the size of the total moment: 0.0 μB per cell. Its total energy is -1.81 eV per atom. The density of states at the Fermi level comes out at 12.10 states/eV per cell.

Lattice parameters (Å, degrees): 8.3428 8.3428 8.5695 90.00 90.00 90.00
Last column: nearest neighbours and their distance in Å.
Space group I-4 (No. 82)
Asymmetric unit:
Li  0.0663  0.1689  0.1633 (multiplicity 8)  1 Tl 2.91, 5 Mg 3.02-3.26, 4 Li 3.03-3.16
Li  0.0964  0.3227  0.4995 (multiplicity 8)  1 Tl 2.72, 5 Mg 2.81-2.97
Mg  0.0000  0.0000  0.5000 (multiplicity 2)  4 Li 2.81
Mg  0.1176  0.2953  0.8370 (multiplicity 8)  8 Li 2.91-3.06, 2 Mg 3.16
Tl  0.0000  0.5000  0.2500 (multiplicity 2)  8 Li 2.72-2.91



[4]
Here is a relaxed structure of BaTe2W from Alexandria via LeMat-Bulk. Energies are from PBE-GGA.

Calculated values
As for the size of the total moment: 4.2 μB per cell. The uncorrected formation energy comes out at -61 meV per atom. Its excess energy over the best structure of this formula in the dataset is 0.1647 eV per atom. The density of states at the Fermi level comes out at 4.27 states/eV per cell.

Lattice parameters (Å, degrees): 4.1547 6.5583 9.5388 90.00 90.00 90.00
Last column: nearest neighbours and their distance in Å.
Space group Immm (No. 71)
Asymmetric unit:
Ba  0.0000  0.0000  0.0000 (multiplicity 2)  8 Te 3.63-3.74, 4 W 3.88
Te  0.0000  0.5000  0.1880 (multiplicity 4)  2 W 2.74
W  0.0000  0.0000  0.5000 (multiplicity 2)  4 Te 2.74



[5]
Here is a relaxed structure of Ac4CeCd5 from Alexandria via LeMat-Bulk. Energies are from PBE-GGA.

Calculated values
As for the size of the total moment: 2.2 μB per cell. Its total energy is -2.95 eV per atom. The density of states at the Fermi level comes out at 18.61 states/eV per cell.

Lattice parameters (Å, degrees): 4.0345 4.0345 20.0758 90.00 90.00 90.00
Last column: nearest neighbours and their distance in Å.
Space group P4/mmm (No. 123)
Asymmetric unit:
Ac  0.0000  0.0000  0.1025 (multiplicity 2)  8 Cd 3.51-3.52
Ac  0.0000  0.0000  0.3079 (multiplicity 2)  8 Cd 3.53-3.54, 1 Ce 3.86
Ce  0.0000  0.0000  0.5000 (multiplicity 1)  8 Cd 3.35
Cd  0.5000  0.5000  0.0000 (multiplicity 1)  8 Ac 3.52
Cd  0.5000  0.5000  0.2048 (multiplicity 2)  8 Ac 3.51-3.53
Cd  0.5000  0.5000  0.4123 (multiplicity 2)  4 Ce 3.35, 1 Cd 3.52, 4 Ac 3.54



[6]
Here is a relaxed structure of CuSi2Ni from Alexandria via LeMat-Bulk. Energies are from PBE-GGA.

Calculated values
As for the size of the total moment: 0.0 μB per cell. The uncorrected formation energy comes out at 63 meV per atom. The density of states at the Fermi level comes out at 3.52 states/eV per cell.

Lattice parameters (Å, degrees): 2.9882 4.3564 7.7223 90.00 90.00 90.00
Last column: nearest neighbours and their distance in Å.
Space group Immm (No. 71)
Asymmetric unit:
Cu  0.0000  0.0000  0.0000 (multiplicity 2)  4 Si 2.50, 4 Ni 2.64
Si  0.0000  0.5000  0.2408 (multiplicity 4)  2 Ni 2.39, 2 Cu 2.50, 4 Si 2.65
Ni  0.0000  0.0000  0.5000 (multiplicity 2)  4 Si 2.39, 4 Cu 2.64



[7]
Here is a relaxed structure of RbTlCd2Au2 from Alexandria via LeMat-Bulk. Energies are from PBE-GGA.

Calculated values
As for the size of the total moment: 0.0 μB per cell. Its total energy is -2.11 eV per atom. The density of states at the Fermi level comes out at 1.55 states/eV per cell.

Lattice parameters (Å, degrees): 4.9327 4.9327 8.2602 90.00 90.00 120.00
Last column: nearest neighbours and their distance in Å.
Space group P-3m1 (No. 164)
Asymmetric unit:
Rb  0.0000  0.0000  0.0000 (multiplicity 1)  6 Au 3.82, 6 Cd 3.82, 2 Tl 4.13
Tl  0.0000  0.0000  0.5000 (multiplicity 1)  6 Cd 3.26, 6 Au 3.26
Cd  0.3333  0.6667  0.3082 (multiplicity 2)  4 Au 2.85-3.17
Au  0.3333  0.6667  0.6922 (multiplicity 2)  4 Cd 2.85-3.17



[8]
Here is a relaxed structure of Fe2SiCl from Alexandria via LeMat-Bulk. Energies are from PBE-GGA.

Calculated values
As for the size of the total moment: 12.8 μB per cell. The uncorrected formation energy comes out at 484 meV per atom. Its excess energy over the best structure of this formula in the dataset is 0.5671 eV per atom. The density of states at the Fermi level comes out at 17.51 states/eV per cell.

Lattice parameters (Å, degrees): 5.8806 5.8806 5.8806 90.00 90.00 90.00
Last column: nearest neighbours and their distance in Å.
Space group Fm-3m (No. 225)
Asymmetric unit:
Fe  0.2500  0.2500  0.2500 (multiplicity 8)  4 Cl 2.55, 4 Si 2.55
Si  0.0000  0.0000  0.0000 (multiplicity 4)  8 Fe 2.55
Cl  0.0000  0.0000  0.5000 (multiplicity 4)  8 Fe 2.55